1.
A plane-wave DFT calculation with PBE was carried out for a relaxed NaNb10O18 crystal.

The structure in CIF format:
```
data_NaNb10O18
_chemical_formula_sum 'Na2 Nb20 O36'
_symmetry_space_group_name_H-M 'P 1 21/c 1'
_symmetry_Int_Tables_number 14
_symmetry_space_group_name_Hall '-P 2ybc'
_cell_length_a 7.927
_cell_length_b 9.513
_cell_length_c 10.406
_cell_angle_alpha 90.00
_cell_angle_beta 110.35
_cell_angle_gamma 90.00
loop_
_atom_site_label
_atom_site_type_symbol
_atom_site_fract_x
_atom_site_fract_y
_atom_site_fract_z
Na1 Na 0.000 0.000 0.000
Nb1 Nb 0.004 0.116 0.669
Nb2 Nb 0.180 0.629 0.123
Nb3 Nb 0.197 0.126 0.482
Nb4 Nb 0.396 0.114 0.272
Nb5 Nb 0.397 0.628 0.438
O1 O 0.010 0.241 0.849
O2 O 0.197 0.749 0.461
O3 O 0.198 0.006 0.302
O4 O 0.199 0.512 0.304
O5 O 0.203 0.249 0.147
O6 O 0.394 0.009 0.098
O7 O 0.400 0.503 0.107
O8 O 0.410 0.735 0.273
O9 O 0.418 0.244 0.432
```

Computed properties:
- V (Å³ per cell) = 735.8
- energy relative to the elements, uncorrected (meV/atom) = -2361
- total magnetic moment (μB per cell) = 2.1
- E_tot (eV per atom) = -8.9566

***

2.
A plane-wave DFT calculation with PBE was carried out for a relaxed NaNb2O4 crystal.

The structure in CIF format:
```
data_NaNb2O4
_chemical_formula_sum 'Na4 Nb8 O16'
_symmetry_space_group_name_H-M 'P b c m'
_symmetry_Int_Tables_number 57
_symmetry_space_group_name_Hall '-P 2c 2b'
_cell_length_a 5.153
_cell_length_b 12.242
_cell_length_c 5.963
_cell_angle_alpha 90.00
_cell_angle_beta 90.00
_cell_angle_gamma 90.00
loop_
_atom_site_label
_atom_site_type_symbol
_atom_site_fract_x
_atom_site_fract_y
_atom_site_fract_z
Na1 Na 0.193 0.004 0.250
Nb1 Nb 0.159 0.747 0.250
Nb2 Nb 0.344 0.250 0.000
O1 O 0.009 0.147 0.502
O2 O 0.487 0.650 0.750
O3 O 0.495 0.648 0.250
```

Computed properties:
- V (Å³ per cell) = 376.2
- energy relative to the elements, uncorrected (meV/atom) = -2301
- total magnetic moment (μB per cell) = 0.0
- E_tot (eV per atom) = -8.1999